ScH2O | PBE-GGA | optimized geometry

Results
energy above the most stable polymorph in this dataset	445	meV/atom
N(E_F)	2.2	states/eV/f.u.

Unit cell a=3.4614 b=3.4614 c=3.4614 alpha=60.00 beta=60.00 gamma=60.00
With the nearest neighbours (Å) after each atom.
Positions (direct):
Sc (0.0000, 0.0000, 0.0000)  8 H 2.12
H (0.2500, 0.2500, 0.2500)  4 O 2.12, 4 Sc 2.12
H (0.7500, 0.7500, 0.7500)  4 O 2.12, 4 Sc 2.12
O (0.5000, 0.5000, 0.5000)  8 H 2.12